1.
## RbLiCoI4 (PBE)

Data for a relaxed RbLiCoI4 crystal.

Cell: 6.505 8.214 10.798 Å, 90.00 107.26 90.00°
Positions (direct):
I: 0.077 0.001 0.704
I: 0.728 0.250 0.920
I: 0.923 0.501 0.296
I: 0.525 0.250 0.498
I: 0.475 0.750 0.502
I: 0.077 0.499 0.704
I: 0.923 0.999 0.296
I: 0.272 0.750 0.080
Li: 0.101 0.250 0.507
Li: 0.899 0.750 0.493
Co: 0.835 0.250 0.709
Co: 0.165 0.750 0.291
Rb: 0.312 0.250 0.128
Rb: 0.688 0.750 0.872

**DFT total energy**: -3.07 eV per atom
**ΔE_f (raw)**: -754 meV per atom
**Mass density**: 3.97 g cm⁻³
**SG**: P2_1/m, No. 11

2.
## Rb2LiCoI6 (PBE)

Data for a relaxed Rb2LiCoI6 crystal.

Cell: 8.018 8.018 8.020 Å, 60.01 60.01 90.00°
Positions (direct):
I: 0.234 0.234 0.532
I: 0.234 0.766 0.000
I: 0.766 0.234 0.000
I: 0.766 0.766 0.000
I: 0.234 0.234 0.000
I: 0.766 0.766 0.468
Rb: 0.250 0.750 0.500
Rb: 0.750 0.250 0.500
Co: 0.000 0.000 0.000
Li: 0.500 0.500 0.000

**DFT total energy**: -2.80 eV per atom
**ΔE_f (raw)**: -770 meV per atom
**Mass density**: 4.55 g cm⁻³
**SG**: Fm-3m, No. 225

3.
## Li2CoSI (PBE)

Data for a relaxed Li2CoSI crystal.

Cell: 5.355 3.978 5.355 Å, 90.00 90.00 90.00°
Positions (direct):
Li: 0.500 0.000 0.000
Li: 0.000 0.000 0.500
S: 0.000 0.500 0.000
Co: 0.000 0.000 0.000
I: 0.500 0.500 0.500

**DFT total energy**: -3.72 eV per atom
**ΔE_f (raw)**: -393 meV per atom
**Mass density**: 3.37 g cm⁻³
**SG**: P4/mmm, No. 123

4.
## LiCoSb2I (PBE)

Data for a relaxed LiCoSb2I crystal.

Cell: 4.661 4.661 9.957 Å, 90.00 90.00 90.00°
Positions (direct):
Sb: 0.500 0.000 0.000
Sb: 0.000 0.500 0.000
I: 0.000 0.000 0.500
Li: 0.500 0.500 0.500
Co: 0.000 0.000 0.000

**DFT total energy**: -3.70 eV per atom
**ΔE_f (raw)**: 59 meV per atom
**Mass density**: 3.35 g cm⁻³
**SG**: P4/mmm, No. 123

5.
## LiCoSb2I (PBE)

Data for a relaxed LiCoSb2I crystal.

Cell: 4.937 4.937 5.432 Å, 90.00 90.00 90.00°
Positions (direct):
Sb: 0.000 0.500 0.000
Sb: 0.500 0.000 0.000
Co: 0.500 0.500 0.500
I: 0.000 0.000 0.500
Li: 0.000 0.000 0.000

**DFT total energy**: -2.93 eV per atom
**ΔE_f (raw)**: 832 meV per atom
**Mass density**: 5.47 g cm⁻³
**SG**: P4/mmm, No. 123

6.
## LiCoTe2I (PBE)

Data for a relaxed LiCoTe2I crystal.

Cell: 4.912 4.912 6.580 Å, 90.00 90.00 90.00°
Positions (direct):
I: 0.000 0.000 0.500
Li: 0.500 0.500 0.500
Te: 0.500 0.000 0.000
Te: 0.000 0.500 0.000
Co: 0.000 0.000 0.000

**DFT total energy**: -3.35 eV per atom
**ΔE_f (raw)**: 19 meV per atom
**Mass density**: 4.69 g cm⁻³
**SG**: P4/mmm, No. 123

7.
## LiCoTe2I (PBE)

Data for a relaxed LiCoTe2I crystal.

Cell: 4.754 4.754 7.189 Å, 90.00 90.00 90.00°
Positions (direct):
Te: 0.000 0.500 0.000
Te: 0.500 0.000 0.000
Co: 0.500 0.500 0.500
I: 0.000 0.000 0.500
Li: 0.000 0.000 0.000

**DFT total energy**: -2.69 eV per atom
**ΔE_f (raw)**: 680 meV per atom
**Mass density**: 4.58 g cm⁻³
**SG**: P4/mmm, No. 123

8.
## Lu2CoI (PBE)

Data for a relaxed Lu2CoI crystal.

Cell: 3.877 3.877 8.066 Å, 76.10 76.10 60.00°
Positions (direct):
Co: 0.000 0.000 0.000
Lu: 0.275 0.275 0.176
Lu: 0.725 0.725 0.824
I: 0.500 0.500 0.500

**DFT total energy**: -4.97 eV per atom
**ΔE_f (raw)**: -543 meV per atom
**Mass density**: 8.82 g cm⁻³
**SG**: R-3m, No. 166

9.
## MgCo2I (PBE)

Data for a relaxed MgCo2I crystal.

Cell: 4.456 4.456 4.456 Å, 60.00 60.00 60.00°
Positions (direct):
I: 0.500 0.500 0.500
Co: 0.750 0.750 0.750
Co: 0.250 0.250 0.250
Mg: 0.000 0.000 0.000

**DFT total energy**: -3.73 eV per atom
**ΔE_f (raw)**: 605 meV per atom
**Mass density**: 7.14 g cm⁻³
**SG**: Fm-3m, No. 225

10.
## MgCo2I (PBE)

Data for a relaxed MgCo2I crystal.

Cell: 4.187 4.187 8.966 Å, 76.50 76.50 90.00°
Positions (direct):
Mg: 0.500 0.500 0.000
Mg: 0.250 0.750 0.500
Co: 0.697 0.125 0.250
Co: 0.875 0.947 0.750
Co: 0.053 0.625 0.250
Co: 0.375 0.303 0.750
I: 0.750 0.250 0.500
I: 0.000 0.000 0.000

**DFT total energy**: -3.64 eV per atom
**ΔE_f (raw)**: 695 meV per atom
**Mass density**: 6.02 g cm⁻³
**SG**: I-42d, No. 122

11.
## MgCoI2 (PBE)

Data for a relaxed MgCoI2 crystal.

Cell: 5.168 5.168 5.168 Å, 60.00 60.00 60.00°
Positions (direct):
I: 0.250 0.250 0.250
I: 0.750 0.750 0.750
Mg: 0.000 0.000 0.000
Co: 0.500 0.500 0.500

**DFT total energy**: -2.56 eV per atom
**ΔE_f (raw)**: 388 meV per atom
**Mass density**: 5.73 g cm⁻³
**SG**: Fm-3m, No. 225

12.
## MgCoI2 (PBE)

Data for a relaxed MgCoI2 crystal.

Cell: 6.228 6.228 7.509 Å, 65.50 65.50 90.00°
Positions (direct):
Co: 0.750 0.250 0.500
Co: 0.000 0.000 0.000
Mg: 0.500 0.500 0.000
Mg: 0.250 0.750 0.500
I: 0.082 0.625 0.250
I: 0.875 0.918 0.750
I: 0.375 0.332 0.750
I: 0.668 0.125 0.250

**DFT total energy**: -2.89 eV per atom
**ΔE_f (raw)**: 58 meV per atom
**Mass density**: 4.74 g cm⁻³
**SG**: I-42d, No. 122